(1)
The following is a DFT calculation (PBE) of La2PtI2 after structural relaxation.

Results
mass density = 7.36 g/cm3
uncorrected formation energy = -984 meV/atom
energy relative to the lowest polymorph listed for this composition = 328.7 meV per atom

Cell lengths 7.874, 7.874, 5.287 Å; angles 90.00, 90.00, 90.00 degrees
Fractional coordinates of all 10 atoms:
I1 0.159 0.659 0.500
I2 0.659 0.841 0.500
I3 0.841 0.341 0.500
I4 0.341 0.159 0.500
Pt1 0.000 0.000 0.000
Pt2 0.500 0.500 0.000
La1 0.329 0.829 0.000
La2 0.829 0.671 0.000
La3 0.671 0.171 0.000
La4 0.171 0.329 0.000



(2)
The following is a DFT calculation (PBE) of La2PtI after structural relaxation.

Results
mass density = 8.62 g/cm3
uncorrected formation energy = -1005 meV/atom
energy relative to the lowest polymorph listed for this composition = 217.5 meV per atom

Cell lengths 3.687, 3.687, 8.503 Å; angles 90.00, 90.00, 90.00 degrees
Fractional coordinates of all 4 atoms:
I1 0.500 0.500 0.500
Pt1 0.500 0.500 0.000
La1 0.000 0.000 0.793
La2 0.000 0.000 0.207



(3)
The following is a DFT calculation (PBE) of La4Pt2I3 after structural relaxation.

Results
mass density = 6.86 g/cm3
uncorrected formation energy = -1296 meV/atom

Cell lengths 4.312, 4.312, 19.945 Å; angles 90.05, 89.95, 120.00 degrees
Fractional coordinates of all 9 atoms:
La1 0.334 0.666 0.871
La2 0.999 0.001 0.291
La3 0.001 0.999 0.709
La4 0.666 0.334 0.129
Pt1 0.667 0.333 0.795
Pt2 0.333 0.667 0.205
I1 0.666 0.334 0.402
I2 0.000 0.000 0.000
I3 0.334 0.666 0.598



(4)
The following is a DFT calculation (PBE) of LaPt3I after structural relaxation.

Results
mass density = 9.56 g/cm3
uncorrected formation energy = 853 meV/atom
energy relative to the lowest polymorph listed for this composition = 683.8 meV per atom

Cell lengths 5.288, 5.288, 5.288 Å; angles 90.00, 90.00, 90.00 degrees
Fractional coordinates of all 5 atoms:
I1 0.500 0.500 0.500
Pt1 0.000 0.500 0.000
Pt2 0.000 0.000 0.500
Pt3 0.500 0.000 0.000
La1 0.000 0.000 0.000



(5)
The following is a DFT calculation (PBE) of La2PtI2 after structural relaxation.

Results
mass density = 7.20 g/cm3
uncorrected formation energy = -439 meV/atom
energy relative to the lowest polymorph listed for this composition = 874.2 meV per atom

Cell lengths 4.723, 4.723, 8.224 Å; angles 73.31, 73.31, 90.00 degrees
Fractional coordinates of all 5 atoms:
I1 0.750 0.250 0.500
I2 0.250 0.750 0.500
Pt1 0.000 0.000 0.000
La1 0.399 0.399 0.202
La2 0.601 0.601 0.798



(6)
The following is a DFT calculation (PBE) of La2PtI2 after structural relaxation.

Results
mass density = 8.08 g/cm3
uncorrected formation energy = -596 meV/atom
energy relative to the lowest polymorph listed for this composition = 717.1 meV per atom

Cell lengths 8.651, 8.651, 3.989 Å; angles 90.00, 90.00, 90.00 degrees
Fractional coordinates of all 10 atoms:
I1 0.365 0.865 0.000
I2 0.865 0.635 0.000
I3 0.635 0.135 0.000
I4 0.135 0.365 0.000
Pt1 0.000 0.000 0.000
Pt2 0.500 0.500 0.000
La1 0.167 0.667 0.500
La2 0.667 0.833 0.500
La3 0.833 0.333 0.500
La4 0.333 0.167 0.500



(7)
The following is a DFT calculation (PBE) of La4PtRhI2 after structural relaxation.

Results
mass density = 6.99 g/cm3
uncorrected formation energy = -1141 meV/atom

Cell lengths 4.282, 7.439, 8.619 Å; angles 106.75, 90.00, 90.00 degrees
Fractional coordinates of all 8 atoms:
La1 0.500 0.224 0.187
La2 0.500 0.776 0.813
La3 0.000 0.266 0.813
La4 0.000 0.734 0.187
Pt1 0.500 0.500 0.000
Rh1 0.000 0.000 0.000
I1 0.500 0.000 0.500
I2 0.000 0.500 0.500



(8)
The following is a DFT calculation (PBE) of La6Pt2RhI3 after structural relaxation.

Results
mass density = 7.15 g/cm3
uncorrected formation energy = -1168 meV/atom

Cell lengths 7.452, 7.452, 8.610 Å; angles 98.29, 98.29, 120.01 degrees
Fractional coordinates of all 12 atoms:
La1 0.937 0.610 0.813
La2 0.735 0.735 0.188
La3 0.063 0.390 0.187
La4 0.610 0.937 0.813
La5 0.265 0.265 0.812
La6 0.390 0.063 0.187
Pt1 0.333 0.667 0.000
Pt2 0.667 0.333 0.000
Rh1 0.000 0.000 0.000
I1 0.167 0.833 0.500
I2 0.833 0.167 0.500
I3 0.500 0.500 0.500



(9)
The following is a DFT calculation (PBE) of La6Pt3Rh2I after structural relaxation.

Results
mass density = 8.57 g/cm3
uncorrected formation energy = -973 meV/atom

Cell lengths 4.223, 8.861, 9.491 Å; angles 101.31, 102.85, 90.00 degrees
Fractional coordinates of all 12 atoms:
La1 0.316 0.893 0.633
La2 0.669 0.584 0.337
La3 0.684 0.107 0.367
La4 0.013 0.286 0.027
La5 0.987 0.714 0.973
La6 0.331 0.416 0.663
Pt1 0.500 0.500 0.000
Pt2 0.843 0.162 0.685
Pt3 0.157 0.838 0.315
Rh1 0.831 0.663 0.662
Rh2 0.169 0.337 0.338
I1 0.500 0.000 0.000



(10)
The following is a DFT calculation (PBE) of La8PtRh3I4 after structural relaxation.

Results
mass density = 6.78 g/cm3
uncorrected formation energy = -1098 meV/atom

Cell lengths 8.523, 9.619, 8.525 Å; angles 116.29, 119.99, 90.00 degrees
Fractional coordinates of all 16 atoms:
La1 0.231 0.686 0.955
La2 0.231 0.686 0.462
La3 0.271 0.313 0.542
La4 0.724 0.686 0.955
La5 0.276 0.314 0.045
La6 0.729 0.687 0.458
La7 0.769 0.314 0.538
La8 0.769 0.314 0.045
Pt1 0.000 0.500 0.000
Rh1 0.500 0.500 0.000
Rh2 0.500 0.500 0.500
Rh3 0.000 0.500 0.500
I1 0.500 0.000 0.000
I2 0.500 0.000 0.500
I3 0.000 0.000 0.000
I4 0.000 0.000 0.500



(11)
The following is a DFT calculation (PBE) of La6PtRh2I3 after structural relaxation.

Results
mass density = 6.86 g/cm3
uncorrected formation energy = -1113 meV/atom

Cell lengths 7.394, 7.394, 8.622 Å; angles 98.22, 98.22, 120.00 degrees
Fractional coordinates of all 12 atoms:
La1 0.938 0.599 0.813
La2 0.723 0.723 0.187
La3 0.062 0.401 0.187
La4 0.599 0.938 0.813
La5 0.277 0.277 0.813
La6 0.401 0.062 0.187
Pt1 0.000 0.000 0.000
Rh1 0.333 0.667 0.000
Rh2 0.667 0.333 0.000
I1 0.166 0.834 0.500
I2 0.834 0.166 0.500
I3 0.500 0.500 0.500



(12)
The following is a DFT calculation (PBE) of La6Ru2PtI3 after structural relaxation.

Results
mass density = 6.92 g/cm3
uncorrected formation energy = -964 meV/atom

Cell lengths 7.349, 7.349, 8.625 Å; angles 98.16, 98.16, 119.99 degrees
Fractional coordinates of all 12 atoms:
La1 0.938 0.593 0.814
La2 0.716 0.716 0.185
La3 0.062 0.407 0.186
La4 0.593 0.938 0.814
La5 0.284 0.284 0.815
La6 0.407 0.062 0.186
Ru1 0.333 0.667 0.000
Ru2 0.667 0.333 0.000
Pt1 0.000 0.000 0.000
I1 0.167 0.833 0.500
I2 0.833 0.167 0.500
I3 0.500 0.500 0.500



(13)
The following is a DFT calculation (PBE) of La8RuPt3I4 after structural relaxation.

Results
mass density = 7.26 g/cm3
uncorrected formation energy = -1137 meV/atom

Cell lengths 8.599, 9.618, 8.600 Å; angles 116.58, 120.00, 90.00 degrees
Fractional coordinates of all 16 atoms:
La1 0.224 0.687 0.963
La2 0.224 0.687 0.449
La3 0.271 0.313 0.542
La4 0.739 0.687 0.963
La5 0.261 0.313 0.037
La6 0.729 0.687 0.458
La7 0.776 0.313 0.551
La8 0.776 0.313 0.037
Ru1 0.000 0.500 0.000
Pt1 0.500 0.500 0.000
Pt2 0.500 0.500 0.500
Pt3 0.000 0.500 0.500
I1 0.500 0.000 0.000
I2 0.500 0.000 0.500
I3 0.000 0.000 0.000
I4 0.000 0.000 0.500



(14)
The following is a DFT calculation (PBE) of La6RuPt2I3 after structural relaxation.

Results
mass density = 7.20 g/cm3
uncorrected formation energy = -1110 meV/atom

Cell lengths 7.423, 7.423, 8.608 Å; angles 98.26, 98.26, 120.00 degrees
Fractional coordinates of all 12 atoms:
La1 0.938 0.616 0.813
La2 0.741 0.741 0.188
La3 0.062 0.384 0.187
La4 0.616 0.938 0.813
La5 0.259 0.259 0.812
La6 0.384 0.062 0.187
Ru1 0.000 0.000 0.000
Pt1 0.333 0.667 0.000
Pt2 0.667 0.333 0.000
I1 0.167 0.833 0.500
I2 0.833 0.167 0.500
I3 0.500 0.500 0.500



(15)
The following is a DFT calculation (PBE) of La8Ru3PtI3 after structural relaxation.

Results
mass density = 6.47 g/cm3
uncorrected formation energy = -776 meV/atom

Cell lengths 8.461, 8.471, 9.578 Å; angles 116.30, 90.00, 119.99 degrees
Fractional coordinates of all 15 atoms:
La1 0.271 0.542 0.313
La2 0.729 0.458 0.687
La3 0.767 0.534 0.316
La4 0.233 0.466 0.684
La5 0.767 0.050 0.317
La6 0.233 0.950 0.683
La7 0.283 0.050 0.316
La8 0.717 0.950 0.684
Ru1 0.500 0.000 0.500
Ru2 0.500 0.500 0.500
Ru3 0.000 0.500 0.500
Pt1 0.000 0.000 0.500
I1 0.000 0.000 0.000
I2 0.000 0.500 0.000
I3 0.500 0.500 0.000



(16)
The following is a DFT calculation (PBE) of La4PtSI2 after structural relaxation.

Results
mass density = 6.84 g/cm3
uncorrected formation energy = -1390 meV/atom

Cell lengths 4.192, 7.591, 8.285 Å; angles 107.34, 90.00, 90.00 degrees
Fractional coordinates of all 8 atoms:
La1 0.500 0.225 0.196
La2 0.500 0.775 0.804
La3 0.000 0.279 0.800
La4 0.000 0.721 0.200
Pt1 0.000 0.000 0.000
S1 0.500 0.500 0.000
I1 0.500 0.000 0.500
I2 0.000 0.500 0.500



(17)
The following is a DFT calculation (PBE) of La8PtS3I4 after structural relaxation.

Results
mass density = 6.45 g/cm3
uncorrected formation energy = -1489 meV/atom

Cell lengths 8.517, 9.241, 8.516 Å; angles 117.43, 120.00, 90.00 degrees
Fractional coordinates of all 16 atoms:
La1 0.235 0.697 0.962
La2 0.235 0.697 0.471
La3 0.269 0.307 0.538
La4 0.727 0.697 0.962
La5 0.273 0.303 0.038
La6 0.731 0.693 0.462
La7 0.765 0.303 0.529
La8 0.765 0.303 0.038
Pt1 0.000 0.500 0.000
S1 0.500 0.500 0.000
S2 0.500 0.500 0.500
S3 0.000 0.500 0.500
I1 0.500 0.000 0.000
I2 0.500 0.000 0.500
I3 0.000 0.000 0.000
I4 0.000 0.000 0.500



(18)
The following is a DFT calculation (PBE) of La8Pt3SI4 after structural relaxation.

Results
mass density = 7.17 g/cm3
uncorrected formation energy = -1282 meV/atom

Cell lengths 8.636, 9.443, 8.636 Å; angles 117.21, 120.00, 90.00 degrees
Fractional coordinates of all 16 atoms:
La1 0.233 0.699 0.966
La2 0.233 0.699 0.465
La3 0.271 0.313 0.542
La4 0.733 0.699 0.966
La5 0.267 0.301 0.034
La6 0.729 0.687 0.458
La7 0.767 0.301 0.535
La8 0.767 0.301 0.034
Pt1 0.500 0.500 0.000
Pt2 0.500 0.500 0.500
Pt3 0.000 0.500 0.500
S1 0.000 0.500 0.000
I1 0.500 0.000 0.000
I2 0.500 0.000 0.500
I3 0.000 0.000 0.000
I4 0.000 0.000 0.500



(19)
The following is a DFT calculation (PBE) of La8Pt3SI3 after structural relaxation.

Results
mass density = 6.86 g/cm3
uncorrected formation energy = -1160 meV/atom

Cell lengths 8.679, 8.676, 9.303 Å; angles 117.83, 90.00, 120.01 degrees
Fractional coordinates of all 15 atoms:
La1 0.270 0.540 0.310
La2 0.730 0.460 0.690
La3 0.764 0.528 0.299
La4 0.236 0.472 0.701
La5 0.764 0.035 0.299
La6 0.236 0.965 0.701
La7 0.271 0.035 0.299
La8 0.729 0.965 0.701
Pt1 0.500 0.000 0.500
Pt2 0.500 0.500 0.500
Pt3 0.000 0.500 0.500
S1 0.000 0.000 0.500
I1 0.000 0.000 0.000
I2 0.000 0.500 0.000
I3 0.500 0.500 0.000



(20)
The following is a DFT calculation (PBE) of LaSb2PtI after structural relaxation.

Results
mass density = 5.21 g/cm3
uncorrected formation energy = 864 meV/atom
energy relative to the lowest polymorph listed for this composition = 1139.5 meV per atom

Cell lengths 6.145, 6.145, 5.943 Å; angles 90.00, 90.00, 90.00 degrees
Fractional coordinates of all 5 atoms:
I1 0.000 0.000 0.500
Sb1 0.000 0.500 0.000
Sb2 0.500 0.000 0.000
Pt1 0.500 0.500 0.500
La1 0.000 0.000 0.000